Record 1
PuU4P5: relaxed, GGA-PBE.

Output
**DFT formation energy**: -0.998 eV per atom

```
data_PuU4P5
_cell_length_a 3.903
_cell_length_b 5.573
_cell_length_c 19.899
_cell_angle_alpha 90.00
_cell_angle_beta 90.00
_cell_angle_gamma 90.00
_symmetry_space_group_name_H-M 'I m m m'
_symmetry_Int_Tables_number 71
_symmetry_space_group_name_Hall '-I 2 2'
loop_
_atom_site_label
_atom_site_fract_x
_atom_site_fract_y
_atom_site_fract_z
Pu1 0.000 0.000 0.000
U1 0.000 0.000 0.202
U2 0.000 0.000 0.400
P1 0.000 0.500 0.000
P2 0.000 0.500 0.199
P3 0.000 0.500 0.398
```


Record 2
SmTl2Cd2Te4: relaxed, GGA-PBE.

Output
**Calculated total energy**: -3.229 eV per atom

```
data_SmTl2Cd2Te4
_cell_length_a 16.432
_cell_length_b 4.476
_cell_length_c 8.570
_cell_angle_alpha 90.00
_cell_angle_beta 106.57
_cell_angle_gamma 90.00
_symmetry_space_group_name_H-M 'C 1 2/m 1'
_symmetry_Int_Tables_number 12
loop_
_symmetry_equiv_pos_as_xyz
'x,y,z'
'-x,-y,-z'
'-x,y,-z'
'x,-y,z'
'x+1/2,y+1/2,z'
'-x+1/2,-y+1/2,-z'
'-x+1/2,y+1/2,-z'
'x+1/2,-y+1/2,z'
loop_
_atom_site_label
_atom_site_fract_x
_atom_site_fract_y
_atom_site_fract_z
Sm1 0.000 0.000 0.000
Tl1 0.128 0.000 0.551
Cd1 0.166 0.500 0.977
Te1 0.004 0.500 0.738
Te2 0.205 0.000 0.203
```


Record 3
Ta2OF: relaxed, GGA-PBE.

Output
**Calculated total energy**: -8.665 eV per atom

```
data_Ta2OF
_cell_length_a 4.094
_cell_length_b 4.094
_cell_length_c 13.130
_cell_angle_alpha 90.00
_cell_angle_beta 90.00
_cell_angle_gamma 90.00
_symmetry_space_group_name_H-M 'I -4 2 d'
_symmetry_Int_Tables_number 122
_symmetry_space_group_name_Hall 'I -4 2bw'
loop_
_atom_site_label
_atom_site_fract_x
_atom_site_fract_y
_atom_site_fract_z
Ta1 0.219 0.250 0.125
O1 0.000 0.000 0.000
F1 0.000 0.000 0.500
```


Record 4
La2Sn2Cl: relaxed, GGA-PBE.

Output
**Calculated total energy**: -5.041 eV per atom

```
data_La2Sn2Cl
_cell_length_a 8.209
_cell_length_b 8.209
_cell_length_c 4.689
_cell_angle_alpha 90.00
_cell_angle_beta 90.00
_cell_angle_gamma 90.00
_symmetry_space_group_name_H-M 'P 4/m b m'
_symmetry_Int_Tables_number 127
_symmetry_space_group_name_Hall '-P 4 2ab'
loop_
_atom_site_label
_atom_site_fract_x
_atom_site_fract_y
_atom_site_fract_z
La1 0.179 0.321 0.000
Sn1 0.122 0.622 0.500
Cl1 0.000 0.000 0.000
```


Record 5
ScMoPt3: relaxed, GGA-PBE.

Output
**DFT formation energy**: 0.453 eV per atom

```
data_ScMoPt3
_cell_length_a 4.816
_cell_length_b 4.816
_cell_length_c 4.816
_cell_angle_alpha 90.00
_cell_angle_beta 90.00
_cell_angle_gamma 90.00
_symmetry_space_group_name_H-M 'P m -3 m'
_symmetry_Int_Tables_number 221
_symmetry_space_group_name_Hall '-P 4 2 3'
loop_
_atom_site_label
_atom_site_fract_x
_atom_site_fract_y
_atom_site_fract_z
Sc1 0.000 0.000 0.000
Mo1 0.500 0.500 0.500
Pt1 0.000 0.500 0.500
```


Record 6
Li2TaAs: relaxed, GGA-PBE.

Output
**DFT formation energy**: -0.055 eV per atom

```
data_Li2TaAs
_cell_length_a 3.004
_cell_length_b 4.353
_cell_length_c 9.987
_cell_angle_alpha 90.00
_cell_angle_beta 90.00
_cell_angle_gamma 90.00
_symmetry_space_group_name_H-M 'I m m m'
_symmetry_Int_Tables_number 71
_symmetry_space_group_name_Hall '-I 2 2'
loop_
_atom_site_label
_atom_site_fract_x
_atom_site_fract_y
_atom_site_fract_z
Li1 0.000 0.000 0.227
Ta1 0.000 0.500 0.000
As1 0.000 0.500 0.500
```


Record 7
SrTiB2: relaxed, GGA-PBE.

Output
**DFT formation energy**: 0.942 eV per atom

```
data_SrTiB2
_cell_length_a 6.265
_cell_length_b 6.265
_cell_length_c 6.265
_cell_angle_alpha 90.00
_cell_angle_beta 90.00
_cell_angle_gamma 90.00
_symmetry_space_group_name_H-M 'F m -3 m'
_symmetry_Int_Tables_number 225
_symmetry_space_group_name_Hall '-F 4 2 3'
loop_
_atom_site_label
_atom_site_fract_x
_atom_site_fract_y
_atom_site_fract_z
Sr1 0.000 0.000 0.000
Ti1 0.000 0.000 0.500
B1 0.250 0.250 0.250
```


Record 8
Be4CdGe3O12: relaxed, GGA-PBE.

Output
**Calculated total energy**: -6.205 eV per atom

```
data_Be4CdGe3O12
_cell_length_a 9.9033
_cell_length_b 9.9033
_cell_length_c 7.0428
_cell_angle_alpha 90.00
_cell_angle_beta 90.00
_cell_angle_gamma 120.00
_symmetry_space_group_name_H-M 'R 3 2'
_symmetry_Int_Tables_number 155
_symmetry_space_group_name_Hall 'R 3 2"'
loop_
_atom_site_label
_atom_site_fract_x
_atom_site_fract_y
_atom_site_fract_z
Be1 0.0000 0.0000 0.0000
Be2 0.0000 0.4368 0.0000
Cd1 0.0000 0.0000 0.5000
Ge1 0.0000 0.5576 0.5000
O1 0.0000 0.5949 0.0000
O2 0.0000 0.8426 0.0000
O3 0.0483 0.2226 0.6837
```


Record 9
LiTbMg5: relaxed, GGA-PBE.

Output
**DFT formation energy**: 0.017 eV per atom

```
data_LiTbMg5
_cell_length_a 4.659
_cell_length_b 4.659
_cell_length_c 8.037
_cell_angle_alpha 90.00
_cell_angle_beta 90.00
_cell_angle_gamma 90.00
_symmetry_space_group_name_H-M 'P 4/m m m'
_symmetry_Int_Tables_number 123
_symmetry_space_group_name_Hall '-P 4 2'
loop_
_atom_site_label
_atom_site_fract_x
_atom_site_fract_y
_atom_site_fract_z
Li1 0.000 0.000 0.000
Tb1 0.000 0.000 0.500
Mg1 0.000 0.500 0.210
Mg2 0.500 0.500 0.500
```


Record 10
BaZr2Pt2: relaxed, GGA-PBE.

Output
**DFT formation energy**: -0.455 eV per atom

```
data_BaZr2Pt2
_cell_length_a 8.272
_cell_length_b 8.272
_cell_length_c 3.413
_cell_angle_alpha 90.00
_cell_angle_beta 90.00
_cell_angle_gamma 90.00
_symmetry_space_group_name_H-M 'P 4/m b m'
_symmetry_Int_Tables_number 127
_symmetry_space_group_name_Hall '-P 4 2ab'
loop_
_atom_site_label
_atom_site_fract_x
_atom_site_fract_y
_atom_site_fract_z
Ba1 0.000 0.000 0.000
Zr1 0.151 0.349 0.500
Pt1 0.124 0.624 0.000
```


Record 11
Ce4Sb3Te: relaxed, GGA-PBE.

Output
**Calculated total energy**: -6.037 eV per atom

```
data_Ce4Sb3Te
_cell_length_a 4.517
_cell_length_b 6.365
_cell_length_c 8.979
_cell_angle_alpha 90.00
_cell_angle_beta 90.00
_cell_angle_gamma 90.00
_symmetry_space_group_name_H-M 'P m m m'
_symmetry_Int_Tables_number 47
loop_
_symmetry_equiv_pos_as_xyz
'x,y,z'
'-x,-y,-z'
'-x,-y,z'
'x,y,-z'
'x,-y,-z'
'-x,y,z'
'-x,y,-z'
'x,-y,z'
loop_
_atom_site_label
_atom_site_fract_x
_atom_site_fract_y
_atom_site_fract_z
Ce1 0.000 0.000 0.000
Ce2 0.000 0.000 0.500
Ce3 0.500 0.500 0.247
Sb1 0.000 0.500 0.000
Sb2 0.500 0.000 0.251
Te1 0.000 0.500 0.500
```


Record 12
Pm7Cd2Au2: relaxed, GGA-PBE.

Output
**DFT formation energy**: -0.215 eV per atom

```
data_Pm7Cd2Au2
_cell_length_a 8.243
_cell_length_b 11.356
_cell_length_c 7.505
_cell_angle_alpha 90.00
_cell_angle_beta 90.00
_cell_angle_gamma 90.00
_symmetry_space_group_name_H-M 'C m m m'
_symmetry_Int_Tables_number 65
_symmetry_space_group_name_Hall '-C 2 2'
loop_
_atom_site_label
_atom_site_fract_x
_atom_site_fract_y
_atom_site_fract_z
Pm1 0.000 0.000 0.000
Pm2 0.000 0.500 0.258
Pm3 0.250 0.250 0.268
Cd1 0.169 0.000 0.500
Au1 0.000 0.293 0.000
```


Record 13
LaZrV2W: relaxed, GGA-PBE.

Output
**DFT formation energy**: 1.376 eV per atom

```
data_LaZrV2W
_cell_length_a 4.795
_cell_length_b 4.795
_cell_length_c 5.005
_cell_angle_alpha 90.00
_cell_angle_beta 90.00
_cell_angle_gamma 90.00
_symmetry_space_group_name_H-M 'P 4/m m m'
_symmetry_Int_Tables_number 123
_symmetry_space_group_name_Hall '-P 4 2'
loop_
_atom_site_label
_atom_site_fract_x
_atom_site_fract_y
_atom_site_fract_z
La1 0.000 0.000 0.000
Zr1 0.500 0.500 0.500
V1 0.000 0.500 0.500
W1 0.500 0.500 0.000
```


Record 14
La2AlIn8: relaxed, GGA-PBE.

Output
**DFT formation energy**: -0.315 eV per atom

```
data_La2AlIn8
_cell_length_a 4.868
_cell_length_b 4.868
_cell_length_c 12.517
_cell_angle_alpha 90.00
_cell_angle_beta 90.00
_cell_angle_gamma 90.00
_symmetry_space_group_name_H-M 'P 4/m m m'
_symmetry_Int_Tables_number 123
_symmetry_space_group_name_Hall '-P 4 2'
loop_
_atom_site_label
_atom_site_fract_x
_atom_site_fract_y
_atom_site_fract_z
La1 0.000 0.000 0.191
Al1 0.000 0.000 0.500
In1 0.000 0.500 0.000
In2 0.000 0.500 0.374
In3 0.500 0.500 0.185
```


Record 15
AgSeBr2: relaxed, GGA-PBE.

Output
**Calculated total energy**: -2.241 eV per atom

```
data_AgSeBr2
_cell_length_a 4.154
_cell_length_b 7.314
_cell_length_c 8.097
_cell_angle_alpha 90.00
_cell_angle_beta 90.00
_cell_angle_gamma 90.00
_symmetry_space_group_name_H-M 'I m m m'
_symmetry_Int_Tables_number 71
_symmetry_space_group_name_Hall '-I 2 2'
loop_
_atom_site_label
_atom_site_fract_x
_atom_site_fract_y
_atom_site_fract_z
Ag1 0.000 0.000 0.000
Se1 0.000 0.500 0.000
Br1 0.000 0.253 0.500
```


Record 16
NaSrGe4: relaxed, GGA-PBE.

Output
**DFT formation energy**: -0.180 eV per atom

```
data_NaSrGe4
_cell_length_a 8.182
_cell_length_b 8.182
_cell_length_c 8.182
_cell_angle_alpha 90.00
_cell_angle_beta 90.00
_cell_angle_gamma 90.00
_symmetry_space_group_name_H-M 'F -4 3 m'
_symmetry_Int_Tables_number 216
_symmetry_space_group_name_Hall 'F -4 2 3'
loop_
_atom_site_label
_atom_site_fract_x
_atom_site_fract_y
_atom_site_fract_z
Na1 0.000 0.000 0.000
Sr1 0.250 0.250 0.750
Ge1 0.126 0.126 0.374
```


Record 17
Tl2SnSe3: relaxed, GGA-PBE.

Output
**Calculated total energy**: -3.603 eV per atom

```
data_Tl2SnSe3
_cell_length_a 8.221
_cell_length_b 21.634
_cell_length_c 8.456
_cell_angle_alpha 90.00
_cell_angle_beta 90.00
_cell_angle_gamma 90.00
_symmetry_space_group_name_H-M 'P n m a'
_symmetry_Int_Tables_number 62
loop_
_symmetry_equiv_pos_as_xyz
'x,y,z'
'-x,-y,-z'
'-x+1/2,-y,z+1/2'
'x+1/2,y,-z+1/2'
'x+1/2,-y+1/2,-z+1/2'
'-x+1/2,y+1/2,z+1/2'
'-x,y+1/2,-z'
'x,-y+1/2,z'
loop_
_atom_site_label
_atom_site_fract_x
_atom_site_fract_y
_atom_site_fract_z
Tl1 0.156 0.166 0.017
Tl2 0.235 0.003 0.943
Sn1 0.155 0.167 0.513
Se1 0.003 0.591 0.663
Se2 0.013 0.750 0.332
Se3 0.143 0.608 0.184
Se4 0.187 0.750 0.841
```


Record 18
Ti3BeS: relaxed, GGA-PBE.

Output
**Calculated total energy**: -6.408 eV per atom

```
data_Ti3BeS
_cell_length_a 4.439
_cell_length_b 4.439
_cell_length_c 4.439
_cell_angle_alpha 90.00
_cell_angle_beta 90.00
_cell_angle_gamma 90.00
_symmetry_space_group_name_H-M 'P m -3 m'
_symmetry_Int_Tables_number 221
_symmetry_space_group_name_Hall '-P 4 2 3'
loop_
_atom_site_label
_atom_site_fract_x
_atom_site_fract_y
_atom_site_fract_z
Ti1 0.000 0.000 0.500
Be1 0.500 0.500 0.500
S1 0.000 0.000 0.000
```


Record 19
TbCeNbN3: relaxed, GGA-PBE.

Output
**Calculated total energy**: -9.034 eV per atom

```
data_TbCeNbN3
_cell_length_a 5.805
_cell_length_b 3.390
_cell_length_c 8.704
_cell_angle_alpha 90.00
_cell_angle_beta 102.82
_cell_angle_gamma 90.00
_symmetry_space_group_name_H-M 'P 1 21/m 1'
_symmetry_Int_Tables_number 11
loop_
_symmetry_equiv_pos_as_xyz
'x,y,z'
'-x,-y,-z'
'-x,y+1/2,-z'
'x,-y+1/2,z'
loop_
_atom_site_label
_atom_site_fract_x
_atom_site_fract_y
_atom_site_fract_z
Tb1 0.230 0.250 0.448
Ce1 0.358 0.750 0.813
Nb1 0.125 0.750 0.129
N1 0.050 0.250 0.674
N2 0.248 0.250 0.015
N3 0.440 0.750 0.320
```


Record 20
Ba2LaPt: relaxed, GGA-PBE.

Output
**DFT formation energy**: -0.509 eV per atom

```
data_Ba2LaPt
_cell_length_a 4.093
_cell_length_b 4.320
_cell_length_c 19.531
_cell_angle_alpha 90.00
_cell_angle_beta 90.00
_cell_angle_gamma 90.00
_symmetry_space_group_name_H-M 'A m m 2'
_symmetry_Int_Tables_number 38
loop_
_symmetry_equiv_pos_as_xyz
'x,y,z'
'-x,-y,z'
'-x,y,z'
'x,-y,z'
'x,y+1/2,z+1/2'
'-x,-y+1/2,z+1/2'
'-x,y+1/2,z+1/2'
'x,-y+1/2,z+1/2'
loop_
_atom_site_label
_atom_site_fract_x
_atom_site_fract_y
_atom_site_fract_z
Ba1 0.000 0.000 0.000
Ba2 0.500 0.000 0.315
La1 0.000 0.000 0.663
Pt1 0.500 0.000 0.146
```


no.,calculated density (g/cm3),total moment (μB per cell)
1,10.37,10.18
2,7.11,0.00
3,11.98,0.00
4,5.79,0.00
5,10.80,0.00
6,6.86,0.00
7,4.24,0.00
8,4.65,6.30
9,2.74,0.00
10,10.10,0.00
11,6.78,0.08
12,7.72,0.00
13,7.44,0.00
14,6.85,0.00
15,4.68,0.00
16,4.86,0.01
17,6.75,0.00
18,3.50,0.00
19,8.63,0.00
20,5.85,0.00